Density functional theory data (PBE) for a geometry-optimized PrZrRu4 structure.

space-group type = F-43m
total magnetization = 0.0 μB per formula unit
ΔE_f = -0.94 eV per formula unit

```
PrZrRu4
1.0
-3.3562 4.0189 1.0086
-3.8987 -0.6181 3.5848
0.2392 2.5656 4.6683
Pr Ru Zr
1 4 1
Cartesian
-1.7539 1.4916 2.3154
-4.5095 2.4435 3.4484
-2.4300 4.0434 3.9929
-4.3893 3.7328 5.7944
-2.7027 1.7132 5.2876
0.0000 0.0000 0.0000
```

Density functional theory data (PBE) for a geometry-optimized MgTc structure.

energy relative to the lowest polymorph listed for this composition = 42.1 kJ/mol of formula units
space-group type = Imma
total magnetization = 0.0 μB per formula unit
ΔE_f = 0.39 eV per formula unit

```
MgTc
1.0
4.6908 0.0000 0.0000
-2.3454 4.7320 -0.0033
0.0000 1.0988 3.0285
Mg Tc
2 2
Cartesian
2.3454 4.6353 0.0318
0.0000 2.7373 0.7204
2.3454 0.7471 1.4425
2.3454 2.9924 2.3415
```

Density functional theory data (PBE) for a geometry-optimized Cs2LiCuCl6 structure.

space-group type = I4/mmm
uncorrected energy = -3.15 eV/atom
total magnetization = 2.0 μB per formula unit

```
Cs2LiCuCl6
1.0
-5.0106 -2.5593 -4.5034
5.0310 -0.9135 -5.0785
0.8848 -6.4720 -3.0727
Cs Li Cu Cl
2 1 1 6
Cartesian
-2.0578 -5.3839 -6.1835
2.9630 -4.5609 -6.4710
0.0102 -1.7364 -4.7909
0.0000 0.0000 0.0000
0.4730 -4.2419 -3.8818
0.4323 -5.7028 -8.7727
0.0048 -0.8232 -2.2712
0.0156 -2.6496 -7.3107
-2.6304 -2.1692 -4.6397
2.6509 -1.3036 -4.9422
```

Density functional theory data (PBE) for a geometry-optimized Re2HgGePb structure.

space-group type = P4/mmm
total magnetization = 4.4 μB per formula unit
ΔE_f = 12.73 eV per formula unit

```
Re2HgGePb
1.0
5.1683 0.0000 0.0000
0.0000 5.4555 0.0000
0.0000 0.0000 5.1683
Pb Re Ge Hg
1 2 1 1
Cartesian
0.0000 0.0000 0.0000
0.0000 0.0000 2.5842
2.5842 0.0000 0.0000
2.5842 2.7277 2.5842
0.0000 2.7277 0.0000
```